VASP calculation (PBE) on a relaxed structure of CdAs2Se.

## Properties
Energy relative to the lowest polymorph listed for this composition: 327 meV per atom
ρ: 4.7 g/cm³
Uncorrected formation energy: 0.212 eV/atom
Energy: -3.212 eV per atom

abc: 8.950 8.950 8.950
angles: 155.78 155.78 34.52
Fractional coordinates of all 4 atoms:
As 0.000 0.000 0.000
As 0.500 0.500 0.000
Cd 0.250 0.750 0.500
Se 0.750 0.250 0.500